[1]
A plane-wave DFT calculation with PBEsol was carried out for a geometry-optimized TmFe2B2 structure.

Results
Formation energy   -0.52 eV per atom

a b c (Å): 3.504 3.504 5.195
angles (deg): 109.71 109.71 90.00
Fractional positions:
B1 0.358 0.358 0.715
B2 0.642 0.642 0.285
Tm1 0.000 0.000 0.000
Fe1 0.250 0.750 0.500
Fe2 0.750 0.250 0.500

---

[2]
A plane-wave DFT calculation with PBEsol was carried out for a geometry-optimized NbMoOs3 structure.

Results
Formation energy   2.58 eV per atom

a b c (Å): 4.628 4.628 4.628
angles (deg): 90.00 90.00 90.00
Fractional positions:
Mo1 0.500 0.500 0.500
Os1 0.000 0.500 0.000
Os2 0.000 0.000 0.500
Os3 0.500 0.000 0.000
Nb1 0.000 0.000 0.000

---

[3]
A plane-wave DFT calculation with PBEsol was carried out for a geometry-optimized CaPbW2 structure.

Results
Formation energy   0.91 eV per atom

a b c (Å): 3.598 4.453 4.819
angles (deg): 90.00 90.00 90.00
Fractional positions:
Ca1 0.500 0.000 0.500
Pb1 0.000 0.500 0.500
W1 0.000 0.000 0.000
W2 0.500 0.500 0.000

---

[4]
A plane-wave DFT calculation with PBEsol was carried out for a geometry-optimized NaNbIr2Os structure.

Results
Formation energy   1.40 eV per atom

a b c (Å): 4.786 4.786 4.755
angles (deg): 90.00 90.00 90.00
Fractional positions:
Na1 0.500 0.500 0.500
Nb1 0.000 0.000 0.500
Ir1 0.000 0.500 0.000
Ir2 0.500 0.000 0.000
Os1 0.000 0.000 0.000

---

[5]
A plane-wave DFT calculation with PBEsol was carried out for a geometry-optimized LiMn2Ge2 structure.

Results
Formation energy   -0.10 eV per atom

a b c (Å): 2.663 7.164 7.164
angles (deg): 90.00 90.00 90.00
Fractional positions:
Ge1 0.500 0.171 0.671
Ge2 0.500 0.671 0.829
Ge3 0.500 0.829 0.329
Ge4 0.500 0.329 0.171
Mn1 0.000 0.376 0.876
Mn2 0.000 0.876 0.624
Mn3 0.000 0.624 0.124
Mn4 0.000 0.124 0.376
Li1 0.000 0.000 0.000
Li2 0.000 0.500 0.500

---

[6]
A plane-wave DFT calculation with PBEsol was carried out for a geometry-optimized K2ReBr6 structure.

Results
Formation energy without anion corrections   -90.31 kJ per mole of atoms

a b c (Å): 7.285 7.285 7.285
angles (deg): 60.00 60.00 60.00
Fractional positions:
K1 0.250 0.250 0.250
K2 0.750 0.750 0.750
Re1 0.000 0.000 0.000
Br1 0.757 0.243 0.757
Br2 0.243 0.757 0.757
Br3 0.243 0.243 0.757
Br4 0.757 0.243 0.243
Br5 0.757 0.757 0.243
Br6 0.243 0.757 0.243